Record 1
Below is a relaxed Ba6InPd crystal, with properties calculated at the PBE-GGA level.

Values from the calculation:
Formation energy: -0.1957 eV per atom
Symmetry: C2/m
Calculated total energy: -2.63 eV per atom
Volume: 445.3 Å³ per cell

Unit cell a=7.9514 b=7.9514 c=8.0620 alpha=98.42 beta=98.42 gamma=114.79
Last column: nearest neighbours and their distance in Å.
Fractional coordinates of all 8 atoms:
1 Ba 0.0368 0.3648 0.2521  1 Pd 3.16
2 Ba 0.2620 0.2620 0.7845  1 Pd 3.19, 1 In 3.46
3 Ba 0.3648 0.0368 0.2521  1 Pd 3.16
4 Ba 0.6352 0.9632 0.7479  1 Pd 3.16
5 Ba 0.7380 0.7380 0.2155  1 Pd 3.19, 1 In 3.46
6 Ba 0.9632 0.6352 0.7479  1 Pd 3.16
7 In 0.5000 0.5000 0.5000  6 Ba 3.46-3.55
8 Pd 0.0000 0.0000 0.0000  6 Ba 3.16-3.19



Record 2
Below is a relaxed InTc crystal, with properties calculated at the PBE-GGA level.

Values from the calculation:
Formation energy: 0.2412 eV per atom
Symmetry: R-3m
Calculated total energy: -6.31 eV per atom
Volume: 73.1 Å³ per cell

Unit cell a=9.6380 b=9.6380 c=9.6380 alpha=17.81 beta=17.81 gamma=17.81
Last column: nearest neighbours and their distance in Å.
Fractional coordinates of all 4 atoms:
1 In 0.1185 0.1185 0.1185  3 Tc 2.95, 9 In 2.98-3.24
2 In 0.8815 0.8815 0.8815  3 Tc 2.95, 9 In 2.98-3.24
3 Tc 0.3679 0.3679 0.3679  3 Tc 2.61
4 Tc 0.6321 0.6321 0.6321  3 Tc 2.61



Question: Which value of formation energy does entry 2 give?
Answer: 0.2412 eV per atom